Entry 1:
# InMo2W, optimized geometry, DFT PBE
data_InMo2W
_chemical_formula_sum 'In1 Mo2 W1'
_space_group_name_H-M_alt 'P 1'
_space_group_IT_number 1
_space_group_name_Hall 'P 1'
_cell_length_a 4.479
_cell_length_b 4.479
_cell_length_c 3.370
_cell_angle_alpha 90.00
_cell_angle_beta 90.00
_cell_angle_gamma 89.85
loop_
_atom_site_label
_atom_site_fract_x
_atom_site_fract_y
_atom_site_fract_z
Mo1 0.500 0.500 0.000
W1 0.500 0.000 0.500
Mo2 0.000 0.000 0.000
In1 0.000 0.500 0.500
# Space-group type: Cmmm
# Volume (Å³/f.u.): 68
# E_form (meV/atom): 367

***

Entry 2:
# InMo2W, optimized geometry, DFT PBE
data_InMo2W
_chemical_formula_sum 'In1 Mo2 W1'
_space_group_name_H-M_alt 'P 1'
_space_group_IT_number 1
_space_group_name_Hall 'P 1'
_cell_length_a 4.991
_cell_length_b 4.991
_cell_length_c 4.991
_cell_angle_alpha 131.63
_cell_angle_beta 131.63
_cell_angle_gamma 70.81
loop_
_atom_site_label
_atom_site_fract_x
_atom_site_fract_y
_atom_site_fract_z
W1 0.250 0.750 0.500
Mo1 0.000 0.000 0.000
Mo2 0.500 0.500 0.000
In1 0.750 0.250 0.500
# Space-group type: I4/mmm
# Volume (Å³/f.u.): 68
# E_form (meV/atom): 437

***

Entry 3:
# InMoW, optimized geometry, DFT PBE
data_InMoW
_chemical_formula_sum 'In1 Mo1 W1'
_space_group_name_H-M_alt 'P 1'
_space_group_IT_number 1
_space_group_name_Hall 'P 1'
_cell_length_a 6.746
_cell_length_b 6.746
_cell_length_c 6.746
_cell_angle_alpha 155.38
_cell_angle_beta 155.38
_cell_angle_gamma 35.10
loop_
_atom_site_label
_atom_site_fract_x
_atom_site_fract_y
_atom_site_fract_z
W1 0.674 0.674 0.000
Mo1 0.326 0.326 0.000
In1 0.000 0.000 0.000
# Space-group type: I4mm
# Excess energy over the best structure of this formula in the dataset (meV/atom): 278
# Volume (Å³/f.u.): 53
# E_form (meV/atom): 580

***

Entry 4:
# InMoW, optimized geometry, DFT PBE
data_InMoW
_chemical_formula_sum 'In1 Mo1 W1'
_space_group_name_H-M_alt 'P 1'
_space_group_IT_number 1
_space_group_name_Hall 'P 1'
_cell_length_a 5.341
_cell_length_b 5.341
_cell_length_c 5.341
_cell_angle_alpha 143.68
_cell_angle_beta 143.68
_cell_angle_gamma 52.31
loop_
_atom_site_label
_atom_site_fract_x
_atom_site_fract_y
_atom_site_fract_z
Mo1 0.316 0.316 0.000
W1 0.685 0.685 0.000
In1 0.000 0.000 0.000
# Space-group type: I4mm
# Excess energy over the best structure of this formula in the dataset (meV/atom): 0
# Volume (Å³/f.u.): 53
# E_form (meV/atom): 302

***

Entry 5:
# InMo2W, optimized geometry, DFT PBE
data_InMo2W
_chemical_formula_sum 'In1 Mo2 W1'
_space_group_name_H-M_alt 'P 1'
_space_group_IT_number 1
_space_group_name_Hall 'P 1'
_cell_length_a 2.832
_cell_length_b 2.832
_cell_length_c 9.158
_cell_angle_alpha 90.00
_cell_angle_beta 90.00
_cell_angle_gamma 110.42
loop_
_atom_site_label
_atom_site_fract_x
_atom_site_fract_y
_atom_site_fract_z
W1 0.000 0.000 0.484
Mo1 0.500 0.500 0.249
Mo2 0.000 0.000 0.015
In1 0.500 0.500 0.752
# Space-group type: Cmm2
# Volume (Å³/f.u.): 69
# E_form (meV/atom): 282

***

Entry 6:
# InMo2W, optimized geometry, DFT PBE
data_InMo2W
_chemical_formula_sum 'In1 Mo2 W1'
_space_group_name_H-M_alt 'P 1'
_space_group_IT_number 1
_space_group_name_Hall 'P 1'
_cell_length_a 2.989
_cell_length_b 4.049
_cell_length_c 5.786
_cell_angle_alpha 90.00
_cell_angle_beta 90.00
_cell_angle_gamma 90.00
loop_
_atom_site_label
_atom_site_fract_x
_atom_site_fract_y
_atom_site_fract_z
Mo1 0.500 0.500 0.251
Mo2 0.000 0.000 0.034
W1 0.000 0.000 0.463
In1 0.500 0.500 0.752
# Space-group type: Pmm2
# Volume (Å³/f.u.): 70
# E_form (meV/atom): 391

***

Entry 7:
# InMo2W, optimized geometry, DFT PBE
data_InMo2W
_chemical_formula_sum 'In1 Mo2 W1'
_space_group_name_H-M_alt 'P 1'
_space_group_IT_number 1
_space_group_name_Hall 'P 1'
_cell_length_a 9.216
_cell_length_b 9.216
_cell_length_c 9.216
_cell_angle_alpha 18.67
_cell_angle_beta 18.67
_cell_angle_gamma 18.67
loop_
_atom_site_label
_atom_site_fract_x
_atom_site_fract_y
_atom_site_fract_z
W1 0.506 0.506 0.506
Mo1 0.993 0.993 0.993
Mo2 0.251 0.251 0.251
In1 0.749 0.749 0.749
# Space-group type: R3m
# Volume (Å³/f.u.): 70
# E_form (meV/atom): 482

***

Entry 8:
# InMoW, optimized geometry, DFT PBE
data_InMoW
_chemical_formula_sum 'In1 Mo1 W1'
_space_group_name_H-M_alt 'P 1'
_space_group_IT_number 1
_space_group_name_Hall 'P 1'
_cell_length_a 5.009
_cell_length_b 5.009
_cell_length_c 5.009
_cell_angle_alpha 147.66
_cell_angle_beta 128.39
_cell_angle_gamma 62.23
loop_
_atom_site_label
_atom_site_fract_x
_atom_site_fract_y
_atom_site_fract_z
In1 0.000 0.000 0.000
Mo1 0.333 0.333 0.000
W1 0.667 0.667 0.000
# Space-group type: Imm2
# Excess energy over the best structure of this formula in the dataset (meV/atom): 164
# Volume (Å³/f.u.): 52
# E_form (meV/atom): 466